1.
Here is a relaxed structure of LiTl4Mo from the Alexandria database. Energies are from PBE.

DFT formation energy = 0.75 eV/atom
size of the total moment = 4.42 μB per formula unit

```
data_LiTl4Mo
_symmetry_space_group_name_H-M 'F -4 3 m'
_symmetry_Int_Tables_number 216
_symmetry_space_group_name_Hall 'F -4 2 3'
_cell_length_a 8.825
_cell_length_b 8.825
_cell_length_c 8.825
_cell_angle_alpha 90.00
_cell_angle_beta 90.00
_cell_angle_gamma 90.00
loop_
_atom_site_label
_atom_site_fract_x
_atom_site_fract_y
_atom_site_fract_z
Li1 0.000 0.000 0.000
Tl1 0.125 0.125 0.375
Mo1 0.250 0.250 0.750
```


2.
Here is a relaxed structure of LiTl2Mo from the Alexandria database. Energies are from PBE.

energy above the lowest structure with this stoichiometry = 0.732 eV per formula unit
DFT formation energy = 0.53 eV/atom
size of the total moment = 0.00 μB per formula unit

```
data_LiTl2Mo
_symmetry_space_group_name_H-M 'C m m 2'
_symmetry_Int_Tables_number 35
_symmetry_space_group_name_Hall 'C 2 -2'
_cell_length_a 3.685
_cell_length_b 4.731
_cell_length_c 9.764
_cell_angle_alpha 90.00
_cell_angle_beta 90.00
_cell_angle_gamma 90.00
loop_
_atom_site_label
_atom_site_fract_x
_atom_site_fract_y
_atom_site_fract_z
Li1 0.000 0.000 0.000
Tl1 0.000 0.000 0.549
Tl2 0.000 0.500 0.250
Mo1 0.000 0.500 0.787
```


3.
Here is a relaxed structure of LiTl2Mo from the Alexandria database. Energies are from PBE.

energy above the lowest structure with this stoichiometry = 0.054 eV per formula unit
DFT formation energy = 0.36 eV/atom
size of the total moment = 0.21 μB per formula unit

```
data_LiTl2Mo
_symmetry_space_group_name_H-M 'P 4/m m m'
_symmetry_Int_Tables_number 123
_symmetry_space_group_name_Hall '-P 4 2'
_cell_length_a 4.851
_cell_length_b 4.851
_cell_length_c 3.299
_cell_angle_alpha 90.00
_cell_angle_beta 90.00
_cell_angle_gamma 90.00
loop_
_atom_site_label
_atom_site_fract_x
_atom_site_fract_y
_atom_site_fract_z
Li1 0.000 0.000 0.000
Tl1 0.000 0.500 0.500
Mo1 0.500 0.500 0.000
```


4.
Here is a relaxed structure of LiTlMo from the Alexandria database. Energies are from PBE.

energy above the lowest structure with this stoichiometry = 0.017 eV per formula unit
DFT formation energy = 0.52 eV/atom
size of the total moment = 0.00 μB per formula unit

```
data_LiTlMo
_symmetry_space_group_name_H-M 'I 4 m m'
_symmetry_Int_Tables_number 107
_symmetry_space_group_name_Hall 'I 4 -2'
_cell_length_a 2.842
_cell_length_b 2.842
_cell_length_c 13.725
_cell_angle_alpha 90.00
_cell_angle_beta 90.00
_cell_angle_gamma 90.00
loop_
_atom_site_label
_atom_site_fract_x
_atom_site_fract_y
_atom_site_fract_z
Li1 0.000 0.000 0.000
Tl1 0.000 0.000 0.333
Mo1 0.000 0.000 0.660
```


5.
Here is a relaxed structure of LiTl2Mo from the Alexandria database. Energies are from PBE.

energy above the lowest structure with this stoichiometry = 0.487 eV per formula unit
DFT formation energy = 0.47 eV/atom
size of the total moment = 2.53 μB per formula unit

```
data_LiTl2Mo
_symmetry_space_group_name_H-M 'F m -3 m'
_symmetry_Int_Tables_number 225
_symmetry_space_group_name_Hall '-F 4 2 3'
_cell_length_a 6.909
_cell_length_b 6.909
_cell_length_c 6.909
_cell_angle_alpha 90.00
_cell_angle_beta 90.00
_cell_angle_gamma 90.00
loop_
_atom_site_label
_atom_site_fract_x
_atom_site_fract_y
_atom_site_fract_z
Li1 0.000 0.000 0.000
Tl1 0.250 0.250 0.250
Mo1 0.000 0.000 0.500
```


6.
Here is a relaxed structure of LiYTmMo from the Alexandria database. Energies are from PBE.

DFT formation energy = 0.26 eV/atom
size of the total moment = 1.23 μB per formula unit

```
data_LiYTmMo
_symmetry_space_group_name_H-M 'F -4 3 m'
_symmetry_Int_Tables_number 216
_symmetry_space_group_name_Hall 'F -4 2 3'
_cell_length_a 7.078
_cell_length_b 7.078
_cell_length_c 7.078
_cell_angle_alpha 90.00
_cell_angle_beta 90.00
_cell_angle_gamma 90.00
loop_
_atom_site_label
_atom_site_fract_x
_atom_site_fract_y
_atom_site_fract_z
Li1 0.000 0.000 0.000
Y1 0.250 0.250 0.750
Tm1 0.250 0.250 0.250
Mo1 0.000 0.000 0.500
```


7.
Here is a relaxed structure of LiTmZrMo from the Alexandria database. Energies are from PBE.

DFT formation energy = 0.14 eV/atom
size of the total moment = 0.00 μB per formula unit

```
data_LiTmZrMo
_symmetry_space_group_name_H-M 'F -4 3 m'
_symmetry_Int_Tables_number 216
_symmetry_space_group_name_Hall 'F -4 2 3'
_cell_length_a 6.808
_cell_length_b 6.808
_cell_length_c 6.808
_cell_angle_alpha 90.00
_cell_angle_beta 90.00
_cell_angle_gamma 90.00
loop_
_atom_site_label
_atom_site_fract_x
_atom_site_fract_y
_atom_site_fract_z
Li1 0.000 0.000 0.000
Tm1 0.250 0.250 0.250
Zr1 0.250 0.250 0.750
Mo1 0.000 0.000 0.500
```


8.
Here is a relaxed structure of LiVMo from the Alexandria database. Energies are from PBE.

DFT formation energy = 0.39 eV/atom
size of the total moment = 0.00 μB per formula unit

```
data_LiVMo
_symmetry_space_group_name_H-M 'C 1 2/m 1'
_symmetry_Int_Tables_number 12
_symmetry_space_group_name_Hall '-C 2y'
_cell_length_a 9.609
_cell_length_b 2.588
_cell_length_c 7.965
_cell_angle_alpha 90.00
_cell_angle_beta 113.26
_cell_angle_gamma 90.00
loop_
_atom_site_label
_atom_site_fract_x
_atom_site_fract_y
_atom_site_fract_z
Li1 0.124 0.000 0.492
V1 0.124 0.500 0.162
Mo1 0.130 0.500 0.833
```


9.
Here is a relaxed structure of LiMo2W from the Alexandria database. Energies are from PBE.

energy above the lowest structure with this stoichiometry = 0.589 eV per formula unit
DFT formation energy = 0.39 eV/atom
size of the total moment = 0.00 μB per formula unit

```
data_LiMo2W
_symmetry_space_group_name_H-M 'I m m 2'
_symmetry_Int_Tables_number 44
_symmetry_space_group_name_Hall 'I 2 -2'
_cell_length_a 3.181
_cell_length_b 4.403
_cell_length_c 8.764
_cell_angle_alpha 90.00
_cell_angle_beta 90.00
_cell_angle_gamma 90.00
loop_
_atom_site_label
_atom_site_fract_x
_atom_site_fract_y
_atom_site_fract_z
Li1 0.000 0.000 0.000
Mo1 0.000 0.000 0.498
Mo2 0.000 0.500 0.760
W1 0.000 0.500 0.238
```


10.
Here is a relaxed structure of LiMoW2 from the Alexandria database. Energies are from PBE.

energy above the lowest structure with this stoichiometry = 0.759 eV per formula unit
DFT formation energy = 0.47 eV/atom
size of the total moment = 0.00 μB per formula unit

```
data_LiMoW2
_symmetry_space_group_name_H-M 'P 4/m m m'
_symmetry_Int_Tables_number 123
_symmetry_space_group_name_Hall '-P 4 2'
_cell_length_a 3.211
_cell_length_b 3.211
_cell_length_c 5.770
_cell_angle_alpha 90.00
_cell_angle_beta 90.00
_cell_angle_gamma 90.00
loop_
_atom_site_label
_atom_site_fract_x
_atom_site_fract_y
_atom_site_fract_z
Li1 0.000 0.000 0.000
Mo1 0.000 0.000 0.500
W1 0.500 0.500 0.232
```


11.
Here is a relaxed structure of LiMo2W from the Alexandria database. Energies are from PBE.

energy above the lowest structure with this stoichiometry = 0.191 eV per formula unit
DFT formation energy = 0.29 eV/atom
size of the total moment = 0.00 μB per formula unit

```
data_LiMo2W
_symmetry_space_group_name_H-M 'P 1 m 1'
_symmetry_Int_Tables_number 6
_symmetry_space_group_name_Hall 'P -2y'
_cell_length_a 2.652
_cell_length_b 4.483
_cell_length_c 5.207
_cell_angle_alpha 90.00
_cell_angle_beta 97.97
_cell_angle_gamma 90.00
loop_
_atom_site_label
_atom_site_fract_x
_atom_site_fract_y
_atom_site_fract_z
Li1 0.000 0.000 0.000
Mo1 0.508 0.000 0.500
Mo2 0.757 0.500 0.248
W1 0.239 0.500 0.747
```


12.
Here is a relaxed structure of LiMoW2 from the Alexandria database. Energies are from PBE.

energy above the lowest structure with this stoichiometry = 0.604 eV per formula unit
DFT formation energy = 0.43 eV/atom
size of the total moment = 0.00 μB per formula unit

```
data_LiMoW2
_symmetry_space_group_name_H-M 'F -4 3 m'
_symmetry_Int_Tables_number 216
_symmetry_space_group_name_Hall 'F -4 2 3'
_cell_length_a 6.240
_cell_length_b 6.240
_cell_length_c 6.240
_cell_angle_alpha 90.00
_cell_angle_beta 90.00
_cell_angle_gamma 90.00
loop_
_atom_site_label
_atom_site_fract_x
_atom_site_fract_y
_atom_site_fract_z
Li1 0.000 0.000 0.000
Mo1 0.250 0.250 0.750
W1 0.000 0.000 0.500
W2 0.250 0.250 0.250
```


13.
Here is a relaxed structure of Li3MoW from the Alexandria database. Energies are from PBE.

energy above the lowest structure with this stoichiometry = 0.000 eV per formula unit
DFT formation energy = 2.13 eV/atom
size of the total moment = 0.00 μB per formula unit

```
data_Li3MoW
_symmetry_space_group_name_H-M 'P m -3 m'
_symmetry_Int_Tables_number 221
_symmetry_space_group_name_Hall '-P 4 2 3'
_cell_length_a 4.251
_cell_length_b 4.251
_cell_length_c 4.251
_cell_angle_alpha 90.00
_cell_angle_beta 90.00
_cell_angle_gamma 90.00
loop_
_atom_site_label
_atom_site_fract_x
_atom_site_fract_y
_atom_site_fract_z
Li1 0.000 0.000 0.500
Mo1 0.000 0.000 0.000
W1 0.500 0.500 0.500
```


14.
Here is a relaxed structure of LiMoW2 from the Alexandria database. Energies are from PBE.

energy above the lowest structure with this stoichiometry = 0.875 eV per formula unit
DFT formation energy = 0.50 eV/atom
size of the total moment = 0.00 μB per formula unit

```
data_LiMoW2
_symmetry_space_group_name_H-M 'P 4/m m m'
_symmetry_Int_Tables_number 123
_symmetry_space_group_name_Hall '-P 4 2'
_cell_length_a 2.626
_cell_length_b 2.626
_cell_length_c 9.328
_cell_angle_alpha 90.00
_cell_angle_beta 90.00
_cell_angle_gamma 90.00
loop_
_atom_site_label
_atom_site_fract_x
_atom_site_fract_y
_atom_site_fract_z
Li1 0.000 0.000 0.000
Mo1 0.000 0.000 0.500
W1 0.500 0.500 0.250
```


15.
Here is a relaxed structure of LiMoW2 from the Alexandria database. Energies are from PBE.

energy above the lowest structure with this stoichiometry = 0.058 eV per formula unit
DFT formation energy = 0.30 eV/atom
size of the total moment = 0.00 μB per formula unit

```
data_LiMoW2
_symmetry_space_group_name_H-M 'C m m m'
_symmetry_Int_Tables_number 65
_symmetry_space_group_name_Hall '-C 2 2'
_cell_length_a 3.110
_cell_length_b 4.436
_cell_length_c 9.281
_cell_angle_alpha 90.00
_cell_angle_beta 90.00
_cell_angle_gamma 90.00
loop_
_atom_site_label
_atom_site_fract_x
_atom_site_fract_y
_atom_site_fract_z
Li1 0.000 0.000 0.000
Mo1 0.000 0.000 0.500
W1 0.000 0.500 0.258
```